The following is a DFT calculation (PBE-GGA) of a relaxed structure of Mn2V5Rh12.

Output
E_tot in eV/atom: -7.982
Formation enthalpy at 0 K in eV per formula unit: 0.486
Symmetry: C2/m

abc: 5.4875 7.5579 7.4854
angles: 104.18 90.00 111.29
With the nearest neighbours (Å) after each atom.
Fractional positions:
Rh  0.0031  0.0062  0.2017  1 V 2.24, 2 Mn 2.34
Rh  0.8866  0.2846  0.6924  4 V 2.56-2.78, 5 Rh 2.61-2.84
Rh  0.5431  0.0862  0.3622  7 Rh 2.66-2.87, 1 V 2.66, 2 Mn 2.78
Rh  0.9969  0.9938  0.7983  1 V 2.24, 2 Mn 2.34
Rh  0.1134  0.7154  0.3076  4 V 2.56-2.78, 5 Rh 2.61-2.84
Rh  0.4569  0.9138  0.6378  7 Rh 2.66-2.87, 1 V 2.66, 2 Mn 2.78
Rh  0.9222  0.3308  0.2063  1 Mn 2.48, 4 V 2.50-2.70, 4 Rh 2.61-2.71
Rh  0.5914  0.6692  0.7937  1 Mn 2.48, 4 V 2.50-2.70, 4 Rh 2.61-2.71
Rh  0.3980  0.2846  0.6924  4 V 2.56-2.78, 5 Rh 2.61-2.84
Rh  0.4086  0.3308  0.2063  1 Mn 2.48, 4 V 2.50-2.70, 4 Rh 2.61-2.71
Rh  0.6020  0.7154  0.3076  4 V 2.56-2.78, 5 Rh 2.61-2.84
Rh  0.0778  0.6692  0.7937  1 Mn 2.48, 4 V 2.50-2.70, 4 Rh 2.61-2.71
Mn  0.3271  0.0000  0.0000  1 Mn 1.90
Mn  0.6729  0.0000  0.0000  1 Mn 1.90
V  0.2697  0.5393  0.0128  6 Rh 2.51-2.67, 2 V 2.80
V  0.7303  0.4607  0.9872  6 Rh 2.51-2.67, 2 V 2.80
V  0.0000  0.0000  0.5000  2 Rh 2.24
V  0.2619  0.5237  0.5148  9 Rh 2.50-2.78, 2 V 2.77
V  0.7381  0.4763  0.4852  9 Rh 2.50-2.78, 2 V 2.77



The following is a DFT calculation (PBE-GGA) of a relaxed structure of Mn2VRh8.

Output
E_tot in eV/atom: -7.926
Formation enthalpy at 0 K in eV per formula unit: -0.921
Symmetry: Immm

abc: 4.0138 6.5623 7.0653
angles: 117.67 106.50 90.00
With the nearest neighbours (Å) after each atom.
Fractional positions:
Rh  0.6532  0.8680  0.3065  3 Mn 2.51-2.56, 1 V 2.61, 5 Rh 2.71-2.75
Rh  0.0000  0.7003  0.0000  7 Rh 2.63-2.71, 2 Mn 2.70, 2 V 2.81
Rh  0.6532  0.4385  0.3065  3 Mn 2.51-2.56, 1 V 2.61, 5 Rh 2.71-2.75
Rh  0.3468  0.5615  0.6935  3 Mn 2.51-2.56, 1 V 2.61, 5 Rh 2.71-2.75
Rh  0.8524  0.8524  0.7048  8 Rh 2.63-2.75, 2 V 2.66, 2 Mn 2.71
Rh  0.3468  0.1320  0.6935  3 Mn 2.51-2.56, 1 V 2.61, 5 Rh 2.71-2.75
Rh  0.0000  0.2997  0.0000  7 Rh 2.63-2.71, 2 Mn 2.70, 2 V 2.81
Rh  0.1476  0.1476  0.2952  8 Rh 2.63-2.75, 2 V 2.66, 2 Mn 2.71
V  0.5000  0.0000  0.0000  12 Rh 2.61-2.81
Mn  0.1988  0.6989  0.3977  10 Rh 2.51-2.71
Mn  0.8012  0.3011  0.6023  10 Rh 2.51-2.71



The following is a DFT calculation (PBE-GGA) of a relaxed structure of Mn2VRh.

Output
E_tot in eV/atom: -8.876
Formation enthalpy at 0 K in eV per formula unit: -0.693
Symmetry: Fm-3m

abc: 4.2388 4.2388 4.2388
angles: 60.00 60.00 60.00
With the nearest neighbours (Å) after each atom.
Fractional positions:
V  0.0000  0.0000  0.0000  8 Mn 2.60
Rh  0.5000  0.5000  0.5000  8 Mn 2.60
Mn  0.2500  0.2500  0.2500  4 Rh 2.60, 4 V 2.60
Mn  0.7500  0.7500  0.7500  4 V 2.60, 4 Rh 2.60



The following is a DFT calculation (PBE-GGA) of a relaxed structure of MnV2Rh3.

Output
E_tot in eV/atom: -8.594
Formation enthalpy at 0 K in eV per formula unit: -2.103
Symmetry: Cmmm

abc: 3.6243 3.8679 6.1521
angles: 108.32 90.00 90.00
With the nearest neighbours (Å) after each atom.
Fractional positions:
V  0.0000  0.6634  0.3267  8 Rh 2.63-2.68, 2 Mn 2.72, 2 V 2.80
V  0.0000  0.3366  0.6733  8 Rh 2.63-2.68, 2 Mn 2.72, 2 V 2.80
Rh  0.5000  0.1671  0.3343  6 V 2.65-2.68, 2 Mn 2.66, 4 Rh 2.74-2.75
Rh  0.5000  0.5000  0.0000  4 V 2.63, 4 Mn 2.65, 4 Rh 2.75
Rh  0.5000  0.8329  0.6657  6 V 2.65-2.68, 2 Mn 2.66, 4 Rh 2.74-2.75
Mn  0.0000  0.0000  0.0000  8 Rh 2.65-2.66, 4 V 2.72



The following is a DFT calculation (PBE-GGA) of a relaxed structure of MnV2Rh.

Output
E_tot in eV/atom: -8.343
Formation enthalpy at 0 K in eV per formula unit: 1.386
Symmetry: I-42d

abc: 3.5794 3.5794 9.3788
angles: 79.00 79.00 90.00
With the nearest neighbours (Å) after each atom.
Fractional positions:
Mn  0.5000  0.5000  0.0000  4 Rh 2.53, 4 V 2.58
Mn  0.2500  0.7500  0.5000  4 Rh 2.53, 4 V 2.58
V  0.8750  0.8661  0.7500  4 V 2.49-2.58, 2 Mn 2.58, 2 Rh 2.60
V  0.3750  0.3839  0.7500  4 V 2.49-2.58, 2 Mn 2.58, 2 Rh 2.60
V  0.6161  0.1250  0.2500  4 V 2.49-2.58, 2 Mn 2.58, 2 Rh 2.60
V  0.1339  0.6250  0.2500  4 V 2.49-2.58, 2 Mn 2.58, 2 Rh 2.60
Rh  0.0000  0.0000  0.0000  4 Mn 2.53, 4 V 2.60
Rh  0.7500  0.2500  0.5000  4 Mn 2.53, 4 V 2.60



The following is a DFT calculation (PBE-GGA) of a relaxed structure of MnV6Rh2.

Output
E_tot in eV/atom: -8.431
Formation enthalpy at 0 K in eV per formula unit: 2.707
Symmetry: C2/m

abc: 4.2374 5.7893 6.7551
angles: 115.37 108.17 90.00
With the nearest neighbours (Å) after each atom.
Fractional positions:
V  0.8456  0.5919  0.6908  1 Mn 2.30, 3 Rh 2.49-2.56
V  0.1544  0.4081  0.3092  1 Mn 2.30, 3 Rh 2.49-2.56
V  0.5000  0.7787  0.0000  2 Mn 2.48, 2 Rh 2.53, 5 V 2.56-2.77
V  0.8456  0.0990  0.6908  1 Mn 2.30, 3 Rh 2.49-2.56
V  0.5000  0.2213  0.0000  2 Mn 2.48, 2 Rh 2.53, 5 V 2.56-2.77
V  0.1544  0.9010  0.3092  1 Mn 2.30, 3 Rh 2.49-2.56
Rh  0.3302  0.3300  0.6600  8 V 2.49-2.56
Rh  0.6698  0.6700  0.3400  8 V 2.49-2.56
Mn  0.0000  0.0000  0.0000  8 V 2.30-2.48



The following is a DFT calculation (PBE-GGA) of a relaxed structure of MnVRh6.

Output
E_tot in eV/atom: -8.065
Formation enthalpy at 0 K in eV per formula unit: -2.123
Symmetry: P4/mmm

abc: 3.8151 3.8151 7.6308
angles: 90.00 90.00 90.00
With the nearest neighbours (Å) after each atom.
Fractional positions:
Rh  0.5000  0.5000  0.5000  8 Rh 2.67, 4 V 2.70
Rh  0.5000  0.0000  0.2545  8 Rh 2.67-2.72, 2 V 2.67, 2 Mn 2.72
Rh  0.5000  0.0000  0.7455  8 Rh 2.67-2.72, 2 V 2.67, 2 Mn 2.72
Rh  0.5000  0.5000  0.0000  4 Mn 2.70, 8 Rh 2.72
Rh  0.0000  0.5000  0.7455  8 Rh 2.67-2.72, 2 V 2.67, 2 Mn 2.72
Rh  0.0000  0.5000  0.2545  8 Rh 2.67-2.72, 2 V 2.67, 2 Mn 2.72
V  0.0000  0.0000  0.5000  12 Rh 2.67-2.70
Mn  0.0000  0.0000  0.0000  12 Rh 2.70-2.72



The following is a DFT calculation (PBE-GGA) of a relaxed structure of MnV2Rh9.

Output
E_tot in eV/atom: -8.104
Formation enthalpy at 0 K in eV per formula unit: -3.679
Symmetry: P4/mmm

abc: 3.8159 3.8159 11.4391
angles: 90.00 90.00 90.00
With the nearest neighbours (Å) after each atom.
Fractional positions:
V  0.0000  0.0000  0.6699  12 Rh 2.64-2.72
V  0.0000  0.0000  0.3301  12 Rh 2.64-2.72
Rh  0.0000  0.5000  0.1708  2 V 2.64, 8 Rh 2.68-2.73, 2 Mn 2.73
Rh  0.5000  0.5000  0.3348  8 Rh 2.68-2.69, 4 V 2.70
Rh  0.5000  0.0000  0.8292  2 V 2.64, 8 Rh 2.68-2.73, 2 Mn 2.73
Rh  0.5000  0.0000  0.1708  2 V 2.64, 8 Rh 2.68-2.73, 2 Mn 2.73
Rh  0.5000  0.5000  0.0000  4 Mn 2.70, 8 Rh 2.73
Rh  0.5000  0.0000  0.5000  8 Rh 2.69-2.70, 4 V 2.72
Rh  0.0000  0.5000  0.8292  2 V 2.64, 8 Rh 2.68-2.73, 2 Mn 2.73
Rh  0.0000  0.5000  0.5000  8 Rh 2.69-2.70, 4 V 2.72
Rh  0.5000  0.5000  0.6652  8 Rh 2.68-2.69, 4 V 2.70
Mn  0.0000  0.0000  0.0000  12 Rh 2.70-2.73



The following is a DFT calculation (PBE-GGA) of a relaxed structure of MnV2Rh2.

Output
E_tot in eV/atom: -8.303
Formation enthalpy at 0 K in eV per formula unit: 0.595
Symmetry: I4/mmm

abc: 4.0669 4.0669 5.7867
angles: 69.43 69.43 90.00
With the nearest neighbours (Å) after each atom.
Fractional positions:
Rh  0.6232  0.6232  0.7536  4 V 2.40, 1 Rh 2.47
Rh  0.3768  0.3768  0.2464  4 V 2.40, 1 Rh 2.47
V  0.7500  0.2500  0.5000  4 Rh 2.40
V  0.2500  0.7500  0.5000  4 Rh 2.40
Mn  0.0000  0.0000  0.0000  8 Rh 3.13, 8 V 3.23



The following is a DFT calculation (PBE-GGA) of a relaxed structure of Mn2V3Rh.

Output
E_tot in eV/atom: -9.104
Formation enthalpy at 0 K in eV per formula unit: -1.575
Symmetry: P4/mmm

abc: 2.8636 2.8636 9.1627
angles: 90.00 90.00 90.00
With the nearest neighbours (Å) after each atom.
Fractional positions:
V  0.0000  0.0000  0.6887  4 Mn 2.47, 4 Rh 2.66
V  0.0000  0.0000  0.3113  4 Mn 2.47, 4 Rh 2.66
V  0.0000  0.0000  0.0000  8 Mn 2.49
Mn  0.5000  0.5000  0.1573  8 V 2.47-2.49
Mn  0.5000  0.5000  0.8427  8 V 2.47-2.49
Rh  0.5000  0.5000  0.5000  8 V 2.66, 4 Rh 2.86